Material: BaNaTaNi
Method: DFT, PBE-GGA
State: optimized geometry

Cell lengths 4.960, 4.960, 4.960 Å; angles 60.00, 60.00, 60.00 degrees
Sites, in units of the cell vectors:
Ba: 0.000 0.000 0.000
Na: 0.750 0.750 0.750
Ni: 0.500 0.500 0.500
Ta: 0.250 0.250 0.250

Offset from the most stable computed form: 0.000 eV/atom
Total magnetic moment: 0.00 μB per formula unit
Crystal system: cubic